# 1
The following is a PBE+U calculation of a relaxed structure of Rb3Er3CrO8, from Alexandria.

It has space group R-3m (No. 166, hexagonal axes), with a = 6.6846 Å, b = 6.6846 Å, c = 19.7704 Å, α = 90.00°, β = 90.00° and γ = 120.00°. The inequivalent atoms are Rb at (0.0000, 0.5000, 0.0000), Er at (0.0000, 0.5000, 0.5000), Cr at (0.0000, 0.0000, 0.5000), O at (0.0000, 0.0000, 0.2237) and O at (0.0334, 0.5167, 0.2203).

For the total energy, the calculation gives -303.4 eV for the cell shown. The density is 6.1 g/cm3.

# 2
The following is a PBE+U calculation of a relaxed structure of Rb2ErCrO6, from Alexandria.

It has space group P-3m1 (No. 164), with a = 6.4012 Å, b = 6.4012 Å, c = 5.6217 Å, α = 90.00°, β = 90.00° and γ = 120.00°. The inequivalent atoms are Rb at (0.3333, 0.6667, 0.1258), Er at (0.0000, 0.0000, 0.5000), Cr at (0.0000, 0.0000, 0.0000) and O at (0.1328, 0.2657, 0.8002).

For the total energy, the calculation gives -60.0 eV for the cell shown. The density is 4.0 g/cm3. The value obtained for the density of states at the Fermi level is 1.61 states/eV/f.u.

# 3
The following is a PBE+U calculation of a relaxed structure of ErCr2ReO8, from Alexandria.

It has space group Cmmm (No. 65), with a = 6.6610 Å, b = 6.6807 Å, c = 6.3351 Å, α = 90.00°, β = 90.00° and γ = 90.00°. The inequivalent atoms are Er at (0.0000, 0.0000, 0.0000), Cr at (0.0000, 0.5000, 0.2467), Re at (0.0000, 0.0000, 0.5000), O at (0.0000, 0.2901, 0.5000), O at (0.0000, 0.3205, 0.0000) and O at (0.1973, 0.0000, 0.2864).

For the total energy, the calculation gives -193.2 eV for the cell shown. The density is 6.9 g/cm3. The value obtained for the density of states at the Fermi level is 0.19 states/eV/f.u.

# 4
The following is a PBE+U calculation of a relaxed structure of Er2CrSbO8, from Alexandria.

It has space group P-1 (No. 2), with a = 4.8915 Å, b = 4.8975 Å, c = 6.4359 Å, α = 90.00°, β = 90.01° and γ = 92.17°. The inequivalent atoms are Er at (0.0008, 0.0008, 0.2517), Cr at (0.5000, 0.5000, 0.5000), Sb at (0.5000, 0.5000, 0.0000), O at (0.2114, 0.2082, 0.9994), O at (0.2376, 0.2348, 0.5007), O at (0.3189, 0.6773, 0.2547) and O at (0.3199, 0.6782, 0.7453).

For the total energy, the calculation gives -87.1 eV for the cell shown. The density is 6.9 g/cm3.

# 5
The following is a PBE+U calculation of a relaxed structure of ErScCr2O8, from Alexandria.

It has space group I-4m2 (No. 119), with a = 7.0252 Å, b = 7.0252 Å, c = 6.1814 Å, α = 90.00°, β = 90.00° and γ = 90.00°. The inequivalent atoms are Er at (0.0000, 0.0000, 0.0000), Sc at (0.0000, 0.5000, 0.2500), Cr at (0.0000, 0.0000, 0.5000), Cr at (0.0000, 0.5000, 0.7500), O at (0.0000, 0.1911, 0.3245) and O at (0.0000, 0.3162, 0.9328).

For the total energy, the calculation gives -185.0 eV for the cell shown. The density is 4.8 g/cm3. The value obtained for the density of states at the Fermi level is 1.42 states/eV/f.u.

# 6
The following is a PBE+U calculation of a relaxed structure of ErCr2SiO6, from Alexandria.

It has space group P1 (No. 1), with a = 5.1057 Å, b = 5.1382 Å, c = 5.5316 Å, α = 64.25°, β = 89.82° and γ = 60.45°. The inequivalent atoms are Er at (0.0000, 0.0000, 0.0000), Cr at (0.2078, 0.5811, 0.6093), Cr at (0.7134, 0.5521, 0.1583), Si at (0.5198, 0.9567, 0.5520), O at (0.1922, 0.0255, 0.3600), O at (0.3143, 0.1010, 0.7810), O at (0.4321, 0.3959, 0.3597), O at (0.5820, 0.5165, 0.8112), O at (0.7820, 0.7909, 0.3598) and O at (0.8865, 0.7716, 0.8052).

For the total energy, the calculation gives -79.1 eV for the cell shown. The density is 6.0 g/cm3. The value obtained for the density of states at the Fermi level is 0.00 states/eV/f.u.

Look up the density of the second one.
4.0 g/cm3

Copy entry 6 word for word.
The following is a PBE+U calculation of a relaxed structure of ErCr2SiO6, from Alexandria.

It has space group P1 (No. 1), with a = 5.1057 Å, b = 5.1382 Å, c = 5.5316 Å, α = 64.25°, β = 89.82° and γ = 60.45°. The inequivalent atoms are Er at (0.0000, 0.0000, 0.0000), Cr at (0.2078, 0.5811, 0.6093), Cr at (0.7134, 0.5521, 0.1583), Si at (0.5198, 0.9567, 0.5520), O at (0.1922, 0.0255, 0.3600), O at (0.3143, 0.1010, 0.7810), O at (0.4321, 0.3959, 0.3597), O at (0.5820, 0.5165, 0.8112), O at (0.7820, 0.7909, 0.3598) and O at (0.8865, 0.7716, 0.8052).

For the total energy, the calculation gives -79.1 eV for the cell shown. The density is 6.0 g/cm3. The value obtained for the density of states at the Fermi level is 0.00 states/eV/f.u.